Compound: Ho4ZnCd2
Source: Alexandria via LeMat-Bulk
Functional: PBE
Structure: relaxed

Formation energy ... -139.4 meV/atom
Total DFT energy (no corrections) ... -22.39 eV/f.u.

abc: 8.837 8.837 8.837
angles: 33.90 33.90 33.90
Element x y z (fractional)
Ho 0.123 0.123 0.123
Ho 0.375 0.375 0.375
Ho 0.625 0.625 0.625
Ho 0.877 0.877 0.877
Zn 0.500 0.500 0.500
Cd 0.249 0.249 0.249
Cd 0.751 0.751 0.751